BaMnCdF2 | Alexandria | PBE with a Hubbard U | relaxed; symmetry = P4/mmm, No. 123; total magnetic moment = 4.67 μB per formula unit; uncorrected energy = -19.3 eV/f.u.
1.0
-1.087 2.431 3.635
-6.601 0.192 -2.103
-0.838 -3.792 2.285
F Mn Ba Cd
2 1 1 1
direct
0.500 0.000 0.000 F
0.000 0.000 0.500 F
0.000 0.000 0.000 Mn
0.000 0.500 0.000 Ba
0.500 0.500 0.500 Cd